The following is a PBE-GGA calculation of a relaxed structure of AcSm4Ho, from Alexandria via LeMat-Bulk.

energy relative to the lowest polymorph listed for this composition	125.3	meV per atom
density of states at the Fermi level	9.78	states/eV/f.u.
volume	214	Å³/f.u.
E_form	0.1843	eV/atom
mass density	7725	kg/m³
SG	C2/c, No. 15

Lattice parameters (Å, degrees): 9.3116 5.9981 10.6247 89.97 104.83 130.20
Last column: nearest neighbours and their distance in Å.
Element x y z (fractional)
Sm: 0.1295 0.3797 0.7722  5 Sm 3.46-3.65, 3 Ho 3.68-3.72, 3 Ac 3.71-3.83
Sm: 0.6428 0.8926 0.7722  5 Sm 3.46-3.65, 3 Ho 3.68-3.72, 3 Ac 3.71-3.83
Sm: 0.3572 0.1074 0.2278  5 Sm 3.46-3.65, 3 Ho 3.68-3.72, 3 Ac 3.71-3.83
Sm: 0.9651 0.2149 0.4194  7 Sm 3.40-3.63, 1 Ac 3.61, 1 Ho 3.63
Sm: 0.0349 0.7851 0.5806  7 Sm 3.40-3.63, 1 Ac 3.61, 1 Ho 3.63
Sm: 0.4543 0.7045 0.4194  7 Sm 3.40-3.63, 1 Ac 3.61, 1 Ho 3.63
Sm: 0.8705 0.6203 0.2278  5 Sm 3.46-3.65, 3 Ho 3.68-3.72, 3 Ac 3.71-3.83
Sm: 0.5457 0.2955 0.5806  7 Sm 3.40-3.63, 1 Ac 3.61, 1 Ho 3.63
Ac: 0.4459 0.1959 0.8918  2 Ho 3.56, 8 Sm 3.61-3.83, 2 Ac 3.70
Ac: 0.5541 0.8041 0.1082  2 Ho 3.56, 8 Sm 3.61-3.83, 2 Ac 3.70
Ho: 0.0507 0.3007 0.1014  2 Ac 3.56, 2 Ho 3.62, 8 Sm 3.63-3.72
Ho: 0.9493 0.6993 0.8986  2 Ac 3.56, 2 Ho 3.62, 8 Sm 3.63-3.72